[1]
Material: RhWAu2
Method: DFT, GGA-PBE
State: relaxed

Cell lengths 5.074, 5.074, 2.839 Å; angles 90.00, 90.00, 116.04 degrees
Element x y z (fractional)
Au: 0.000 0.500 0.000
Au: 0.500 0.000 0.000
W: 0.500 0.500 0.500
Rh: 0.000 0.000 0.500

Computed properties:
- final energy (eV/atom) = -6.357
- ΔE to the lowest computed polymorph (eV per atom) = 0.3108
- E_form (meV per atom) = 358
- magnetization (Bohr magnetons per cell) = 0.001
- crystal system = orthorhombic

---

[2]
Material: ZrPbNF2
Method: DFT, GGA-PBE
State: relaxed

Cell lengths 4.368, 4.368, 4.278 Å; angles 90.00, 90.00, 90.00 degrees
Last column: magnetic moment on the atom in μB.
Element x y z (fractional)
F: 0.500 0.000 0.000  0.00
Zr: 0.000 0.000 0.000  0.13
F: 0.000 0.500 0.000  0.00
N: 0.000 0.000 0.500  -0.01
Pb: 0.500 0.500 0.500  0.02

Computed properties:
- final energy (eV/atom) = -6.518
- energy relative to the elements, uncorrected (meV per atom) = -1653
- ΔE to the lowest computed polymorph (eV per atom) = 0.0000
- magnetization (Bohr magnetons per cell) = 0.214
- crystal system = tetragonal

---

[3]
Material: BaSrSeBr2
Method: DFT, GGA-PBE
State: relaxed

Cell lengths 6.005, 6.005, 6.322 Å; angles 90.00, 90.00, 90.00 degrees
Element x y z (fractional)
Se: 0.000 0.000 0.500
Br: 0.000 0.500 0.000
Ba: 0.000 0.000 0.000
Br: 0.500 0.000 0.000
Sr: 0.500 0.500 0.500

Computed properties:
- final energy (eV/atom) = -3.511
- energy relative to the elements, uncorrected (meV per atom) = -1424
- ΔE to the lowest computed polymorph (eV per atom) = 0.3392
- magnetization (Bohr magnetons per cell) = 0.000
- crystal system = tetragonal

---

[4]
Material: VTcSnPd
Method: DFT, GGA-PBE
State: relaxed

Cell lengths 4.492, 4.492, 4.492 Å; angles 60.00, 60.00, 60.00 degrees
Last column: magnetic moment on the atom in μB.
Element x y z (fractional)
V: 0.750 0.750 0.750  1.54
Pd: 0.500 0.500 0.500  0.22
Tc: 0.000 0.000 0.000  -0.32
Sn: 0.250 0.250 0.250  0.00

Computed properties:
- final energy (eV/atom) = -7.268
- E_form (meV per atom) = -98
- magnetization (Bohr magnetons per cell) = 1.621
- crystal system = cubic

---

[5]
Material: ThTc2C2
Method: DFT, GGA-PBE
State: relaxed

Cell lengths 5.596, 5.596, 5.874 Å; angles 110.10, 110.10, 106.17 degrees
Element x y z (fractional)
C: 0.187 0.313 0.750
Tc: 0.765 0.015 0.530
Tc: 0.515 0.265 0.030
Th: 0.125 0.375 0.250
C: 0.563 0.937 0.750
C: 0.437 0.063 0.250
Tc: 0.485 0.735 0.970
C: 0.813 0.687 0.250
Th: 0.875 0.625 0.750
Tc: 0.235 0.985 0.470

Computed properties:
- final energy (eV/atom) = -9.479
- E_form (meV per atom) = -159
- magnetization (Bohr magnetons per cell) = 0.000
- crystal system = orthorhombic

---

[6]
Material: Sr2ErGe3Pt4
Method: DFT, GGA-PBE
State: relaxed

Cell lengths 4.421, 4.421, 10.952 Å; angles 90.00, 90.00, 90.00 degrees
Element x y z (fractional)
Pt: 0.000 0.000 0.000
Pt: 0.000 0.500 0.347
Ge: 0.000 0.500 0.118
Sr: 0.000 0.500 0.768
Er: 0.500 0.500 0.500
Sr: 0.500 0.000 0.232
Ge: 0.000 0.000 0.500
Pt: 0.500 0.000 0.653
Ge: 0.500 0.000 0.882
Pt: 0.500 0.500 0.000

Computed properties:
- final energy (eV/atom) = -5.482
- E_form (meV per atom) = -888
- magnetization (Bohr magnetons per cell) = 0.000
- crystal system = tetragonal

---

[7]
Material: AlHgSb2
Method: DFT, GGA-PBE
State: relaxed

Cell lengths 10.140, 10.140, 10.140 Å; angles 19.47, 19.47, 19.47 degrees
Element x y z (fractional)
Hg: 0.760 0.760 0.760
Sb: 0.232 0.232 0.232
Al: 0.493 0.493 0.493
Sb: 0.015 0.015 0.015

Computed properties:
- final energy (eV/atom) = -2.899
- energy relative to the elements, uncorrected (meV per atom) = 173
- ΔE to the lowest computed polymorph (eV per atom) = 0.1133
- magnetization (Bohr magnetons per cell) = 0.000
- crystal system = trigonal

---

[8]
Material: Cu2Ni5Pt12
Method: DFT, GGA-PBE
State: relaxed

Cell lengths 5.322, 7.679, 8.106 Å; angles 102.92, 90.00, 110.27 degrees
Last column: magnetic moment on the atom in μB.
Element x y z (fractional)
Pt: 0.521 0.043 0.331  0.17
Ni: 0.366 0.732 0.130  0.55
Ni: 0.000 0.000 0.500  0.09
Pt: 0.450 0.405 0.122  0.12
Pt: 0.550 0.595 0.878  0.12
Cu: 0.263 0.000 0.000  0.02
Ni: 0.634 0.268 0.870  0.55
Ni: 0.298 0.595 0.617  0.57
Ni: 0.702 0.405 0.383  0.57
Pt: 0.895 0.291 0.604  0.18
Pt: 0.956 0.405 0.122  0.12
Pt: 0.604 0.709 0.396  0.18
Pt: 0.044 0.595 0.878  0.12
Pt: 0.915 0.830 0.729  0.03
Pt: 0.396 0.291 0.604  0.18
Pt: 0.105 0.709 0.396  0.18
Cu: 0.737 0.000 0.000  0.02
Pt: 0.085 0.170 0.271  0.03
Pt: 0.479 0.957 0.669  0.17

Computed properties:
- final energy (eV/atom) = -5.559
- E_form (meV per atom) = 209
- magnetization (Bohr magnetons per cell) = 3.875
- crystal system = monoclinic

---

[9]
Material: VGa2Tc
Method: DFT, GGA-PBE
State: relaxed

Cell lengths 3.070, 3.070, 6.087 Å; angles 90.00, 90.00, 90.00 degrees
Element x y z (fractional)
Ga: 0.000 0.000 0.242
Tc: 0.500 0.500 0.000
V: 0.500 0.500 0.500
Ga: 0.000 0.000 0.758

Computed properties:
- final energy (eV/atom) = -6.407
- ΔE to the lowest computed polymorph (eV per atom) = 0.0512
- E_form (meV per atom) = -22
- magnetization (Bohr magnetons per cell) = 0.006
- crystal system = tetragonal

---

[10]
Material: La6CSe2I3
Method: DFT, GGA-PBE
State: relaxed

Cell lengths 7.425, 7.425, 8.087 Å; angles 98.76, 98.76, 119.94 degrees
Element x y z (fractional)
Se: 0.666 0.334 0.000
C: 0.000 0.000 0.000
La: 0.938 0.641 0.812
La: 0.231 0.231 0.807
I: 0.175 0.825 0.500
La: 0.769 0.769 0.193
La: 0.641 0.938 0.812
Se: 0.334 0.666 0.000
La: 0.062 0.359 0.188
I: 0.825 0.175 0.500
I: 0.500 0.500 0.500
La: 0.359 0.062 0.188

Computed properties:
- final energy (eV/atom) = -5.467
- energy relative to the elements, uncorrected (meV per atom) = -1266
- magnetization (Bohr magnetons per cell) = 0.003
- crystal system = monoclinic

---

[11]
Material: LaPmPrMg
Method: DFT, GGA-PBE
State: relaxed

Cell lengths 3.797, 3.797, 9.122 Å; angles 90.00, 90.00, 90.00 degrees
Element x y z (fractional)
Pr: 0.500 0.500 0.348
La: 0.000 0.000 0.068
Pm: 0.500 0.500 0.794
Mg: 0.000 0.000 0.575

Computed properties:
- final energy (eV/atom) = -4.055
- ΔE to the lowest computed polymorph (eV per atom) = 0.0000
- E_form (meV per atom) = -42
- magnetization (Bohr magnetons per cell) = 0.000
- crystal system = tetragonal

---

[12]
Material: Pr3Ga5Ir6
Method: DFT, GGA-PBE
State: relaxed

Cell lengths 4.257, 9.948, 12.747 Å; angles 90.00, 90.00, 90.00 degrees
Element x y z (fractional)
Ga: 0.500 0.143 0.830
Pr: 0.000 0.249 0.330
Pr: 0.500 0.751 0.500
Ir: 0.500 0.517 0.000
Pr: 0.000 0.249 0.670
Ga: 0.500 0.479 0.376
Ir: 0.500 0.394 0.189
Ir: 0.000 0.483 0.500
Ir: 0.500 0.994 0.331
Pr: 0.500 0.751 0.170
Ir: 0.000 0.006 0.169
Ga: 0.500 0.479 0.624
Ir: 0.000 0.606 0.689
Ir: 0.000 0.988 0.500
Pr: 0.500 0.751 0.830
Ga: 0.500 0.143 0.170
Ir: 0.000 0.006 0.831
Ga: 0.000 0.881 0.000
Ga: 0.000 0.521 0.876
Ga: 0.000 0.521 0.124
Ga: 0.500 0.119 0.500
Ga: 0.000 0.857 0.330
Pr: 0.000 0.249 0.000
Ir: 0.500 0.994 0.669
Ir: 0.500 0.012 0.000
Ir: 0.000 0.606 0.311
Ga: 0.000 0.857 0.670
Ir: 0.500 0.394 0.811

Computed properties:
- final energy (eV/atom) = -6.540
- E_form (meV per atom) = -637
- magnetization (Bohr magnetons per cell) = 0.000
- crystal system = orthorhombic

---

[13]
Material: AcSmTlHg
Method: DFT, GGA-PBE
State: relaxed

Cell lengths 5.622, 5.622, 5.622 Å; angles 60.00, 60.00, 60.00 degrees
Last column: magnetic moment on the atom in μB.
Element x y z (fractional)
Hg: 0.250 0.250 0.250  0.04
Tl: 0.750 0.750 0.750  0.00
Ac: 0.000 0.000 0.000  0.12
Sm: 0.500 0.500 0.500  0.24

Computed properties:
- final energy (eV/atom) = -3.262
- ΔE to the lowest computed polymorph (eV per atom) = 0.0219
- E_form (meV per atom) = -388
- magnetization (Bohr magnetons per cell) = 0.894
- crystal system = cubic

---

[14]
Material: YFeSb2
Method: DFT, GGA-PBE
State: relaxed

Cell lengths 5.423, 5.423, 5.423 Å; angles 129.34, 129.34, 74.47 degrees
Last column: magnetic moment on the atom in μB.
Element x y z (fractional)
Y: 0.250 0.750 0.500  0.09
Sb: 0.000 0.000 0.000  0.04
Fe: 0.750 0.250 0.500  2.97
Sb: 0.500 0.500 0.000  0.04

Computed properties:
- final energy (eV/atom) = -5.878
- energy relative to the elements, uncorrected (meV per atom) = -85
- magnetization (Bohr magnetons per cell) = 3.355
- crystal system = tetragonal

---

[15]
Material: Zr8AlGa2
Method: DFT, GGA-PBE
State: relaxed

Cell lengths 5.071, 7.637, 7.637 Å; angles 117.90, 101.86, 101.86 degrees
Element x y z (fractional)
Zr: 0.500 0.222 0.778
Ga: 0.000 0.693 0.307
Zr: 0.876 0.916 0.682
Zr: 0.124 0.318 0.084
Zr: 0.124 0.084 0.318
Zr: 0.500 0.778 0.222
Zr: 0.297 0.596 0.596
Al: 0.500 0.000 0.000
Ga: 0.000 0.307 0.693
Zr: 0.703 0.404 0.404
Zr: 0.876 0.682 0.916

Computed properties:
- final energy (eV/atom) = -7.274
- E_form (meV per atom) = -167
- magnetization (Bohr magnetons per cell) = 0.000
- crystal system = monoclinic

---

[16]
Material: Fe2IBr4
Method: DFT, GGA-PBE
State: relaxed

Cell lengths 7.769, 7.769, 9.432 Å; angles 101.82, 101.82, 120.19 degrees
Last column: magnetic moment on the atom in μB.
Element x y z (fractional)
Br: 0.257 0.666 0.090  0.21
Br: 0.916 0.007 0.590  0.21
Br: 0.452 0.523 0.789  0.22
Fe: 0.600 0.866 0.336  3.59
Br: 0.734 0.663 0.211  0.22
I: 0.100 0.100 0.000  0.23
Fe: 0.514 0.281 0.165  3.59
Br: 0.576 0.167 0.910  0.21
Br: 0.417 0.326 0.410  0.21
Fe: 0.116 0.350 0.836  3.59
Br: 0.773 0.202 0.289  0.22
Br: 0.913 0.484 0.711  0.22
I: 0.350 0.850 0.500  0.23
Fe: 0.531 0.264 0.665  3.59

Computed properties:
- final energy (eV/atom) = -3.894
- energy relative to the elements, uncorrected (meV per atom) = -299
- magnetization (Bohr magnetons per cell) = 18.041
- crystal system = monoclinic

---

[17]
Material: K2UCl3F3
Method: DFT, GGA-PBE
State: relaxed

Cell lengths 3.746, 7.757, 7.757 Å; angles 120.00, 90.00, 90.00 degrees
Last column: magnetic moment on the atom in μB.
Element x y z (fractional)
F: 0.500 0.000 0.810  -0.01
F: 0.500 0.190 0.190  -0.01
K: 0.500 0.333 0.667  0.00
Cl: 0.000 0.363 0.000  -0.01
Cl: 0.000 0.000 0.363  -0.01
U: 0.000 0.000 0.000  2.00
K: 0.500 0.667 0.333  0.00
Cl: 0.000 0.637 0.637  -0.01
F: 0.500 0.810 0.000  -0.01

Computed properties:
- final energy (eV/atom) = -5.311
- energy relative to the elements, uncorrected (meV per atom) = -2573
- magnetization (Bohr magnetons per cell) = 2.000
- crystal system = hexagonal

---

[18]
Material: RbPb3
Method: DFT, GGA-PBE
State: relaxed

Cell lengths 6.923, 6.923, 11.576 Å; angles 89.96, 107.44, 120.01 degrees
Element x y z (fractional)
Pb: 0.000 0.500 0.500
Pb: 0.335 0.917 0.750
Pb: 0.334 0.416 0.749
Rb: 0.716 0.858 0.574
Pb: 0.327 0.662 0.989
Rb: 0.284 0.142 0.426
Rb: 0.000 0.000 0.000
Pb: 0.673 0.338 0.011
Pb: 0.666 0.584 0.251
Pb: 0.167 0.585 0.250
Pb: 0.665 0.083 0.250
Pb: 0.833 0.415 0.750

Computed properties:
- final energy (eV/atom) = -3.137
- E_form (meV per atom) = -113
- magnetization (Bohr magnetons per cell) = 0.000
- crystal system = monoclinic

---

[19]
Material: La6Tb2DyEr
Method: DFT, GGA-PBE
State: relaxed

Cell lengths 9.363, 9.045, 9.045 Å; angles 114.12, 92.33, 92.33 degrees
Element x y z (fractional)
Dy: 0.250 0.947 0.053
Dy: 0.750 0.053 0.947
Tb: 0.562 0.204 0.290
La: 0.683 0.985 0.547
La: 0.392 0.551 0.293
La: 0.078 0.084 0.768
La: 0.108 0.707 0.449
La: 0.608 0.449 0.707
La: 0.817 0.453 0.015
La: 0.422 0.232 0.916
La: 0.892 0.293 0.551
La: 0.578 0.768 0.084
La: 0.183 0.547 0.985
Tb: 0.938 0.710 0.796
Er: 0.250 0.418 0.582
Er: 0.750 0.582 0.418
La: 0.317 0.015 0.453
La: 0.922 0.916 0.232
Tb: 0.438 0.796 0.710
Tb: 0.062 0.290 0.204

Computed properties:
- final energy (eV/atom) = -4.684
- E_form (meV per atom) = 115
- magnetization (Bohr magnetons per cell) = 0.000
- crystal system = monoclinic

---

[20]
Material: BaNb3Sn
Method: DFT, GGA-PBE
State: relaxed

Cell lengths 5.272, 5.272, 5.272 Å; angles 90.00, 90.00, 90.00 degrees
Last column: magnetic moment on the atom in μB.
Element x y z (fractional)
Sn: 0.000 0.000 0.000  -0.01
Nb: 0.500 0.000 0.000  0.34
Nb: 0.000 0.500 0.000  0.23
Ba: 0.500 0.500 0.500  0.04
Nb: 0.000 0.000 0.500  0.15

Computed properties:
- final energy (eV/atom) = -5.818
- ΔE to the lowest computed polymorph (eV per atom) = 0.0000
- E_form (meV per atom) = 1409
- magnetization (Bohr magnetons per cell) = 1.006
- crystal system = cubic